(1)
Compound: K2CaHfI
Source: the Alexandria database
Functional: PBE
Structure: relaxed Values from VASP.

Cell and atoms, written as Quantum ESPRESSO input:
```
&SYSTEM
  ibrav = 0, nat = 5, ntyp = 4
/
ATOMIC_SPECIES
K 39.10 K.upf
I 126.90 I.upf
Hf 178.49 Hf.upf
Ca 40.08 Ca.upf
CELL_PARAMETERS angstrom
-1.133 5.600 3.643
-3.366 2.293 -4.571
-5.545 -2.849 2.655
ATOMIC_POSITIONS angstrom
K -0.566 2.800 1.821
I -5.022 2.522 0.863
Hf 0.000 0.000 0.000
K -2.773 -1.424 1.327
Ca -1.683 1.146 -2.285
```

Summary:
Uncorrected formation energy in eV per atom: 0.74

=====

(2)
Compound: CaHfI2N
Source: the Alexandria database
Functional: PBE
Structure: relaxed Values from VASP.

Cell and atoms, written as Quantum ESPRESSO input:
```
&SYSTEM
  ibrav = 0, nat = 5, ntyp = 4
/
ATOMIC_SPECIES
Ca 40.08 Ca.upf
Hf 178.49 Hf.upf
I 126.90 I.upf
N 14.01 N.upf
CELL_PARAMETERS angstrom
-0.086 2.641 -5.266
-5.842 0.640 0.416
0.522 3.601 1.797
ATOMIC_POSITIONS angstrom
Ca -2.703 3.440 -1.526
Hf 0.000 0.000 0.000
I -2.921 0.320 0.208
I -0.043 1.320 -2.633
N 0.261 1.800 0.899
```

Summary:
Relative energy among the computed polymorphs in meV/atom: 0
Uncorrected formation energy in eV per atom: -0.55

=====

(3)
Compound: CaHfI2N
Source: the Alexandria database
Functional: PBE
Structure: relaxed Values from VASP.

Cell and atoms, written as Quantum ESPRESSO input:
```
&SYSTEM
  ibrav = 0, nat = 5, ntyp = 4
/
ATOMIC_SPECIES
Ca 40.08 Ca.upf
I 126.90 I.upf
N 14.01 N.upf
Hf 178.49 Hf.upf
CELL_PARAMETERS angstrom
-3.351 -4.839 -0.283
0.780 -0.878 5.775
-3.290 2.232 0.783
ATOMIC_POSITIONS angstrom
Ca 0.000 0.000 0.000
I 0.390 -0.439 2.887
N -1.645 1.116 0.392
Hf -2.930 -1.742 3.137
I -1.675 -2.420 -0.142
```

Summary:
Relative energy among the computed polymorphs in meV/atom: 1242
Uncorrected formation energy in eV per atom: 0.70

=====

(4)
Compound: Ca2HfIN
Source: the Alexandria database
Functional: PBE
Structure: relaxed Values from VASP.

Cell and atoms, written as Quantum ESPRESSO input:
```
&SYSTEM
  ibrav = 0, nat = 5, ntyp = 4
/
ATOMIC_SPECIES
Ca 40.08 Ca.upf
I 126.90 I.upf
N 14.01 N.upf
Hf 178.49 Hf.upf
CELL_PARAMETERS angstrom
6.173 0.000 0.000
0.000 4.107 0.000
0.000 0.000 6.173
ATOMIC_POSITIONS angstrom
Ca 3.086 0.000 0.000
Ca 0.000 0.000 3.086
I 3.086 2.053 3.086
N 0.000 2.053 0.000
Hf 0.000 0.000 0.000
```

Summary:
Uncorrected formation energy in eV per atom: -0.08

=====

(5)
Compound: CaHf2NiI
Source: the Alexandria database
Functional: PBE
Structure: relaxed Values from VASP.

Cell and atoms, written as Quantum ESPRESSO input:
```
&SYSTEM
  ibrav = 0, nat = 5, ntyp = 4
/
ATOMIC_SPECIES
Hf 178.49 Hf.upf
Ni 58.69 Ni.upf
Ca 40.08 Ca.upf
I 126.90 I.upf
CELL_PARAMETERS angstrom
5.497 0.000 0.000
0.000 4.383 0.000
0.000 0.000 5.497
ATOMIC_POSITIONS angstrom
Hf 2.748 0.000 0.000
Ni 0.000 2.192 0.000
Ca 0.000 0.000 0.000
Hf 0.000 0.000 2.748
I 2.748 2.192 2.748
```

Summary:
Uncorrected formation energy in eV per atom: 1.63

=====

(6)
Compound: CaHf2IO8
Source: the Alexandria database
Functional: PBE
Structure: relaxed Values from VASP.

Cell and atoms, written as Quantum ESPRESSO input:
```
&SYSTEM
  ibrav = 0, nat = 12, ntyp = 4
/
ATOMIC_SPECIES
O 16.00 O.upf
I 126.90 I.upf
Hf 178.49 Hf.upf
Ca 40.08 Ca.upf
CELL_PARAMETERS angstrom
4.908 0.025 -0.003
0.067 4.906 -0.005
0.004 0.007 6.627
ATOMIC_POSITIONS angstrom
O 1.474 1.458 -0.003
O 1.036 3.935 5.177
O 1.602 1.587 3.311
I 0.000 0.000 0.000
O 3.505 3.480 6.621
O 3.943 1.004 1.442
Hf 2.489 2.467 1.706
O 3.377 3.351 3.307
O 3.945 1.008 5.178
O 1.034 3.931 1.440
Hf 2.491 2.471 4.912
Ca 0.002 0.004 3.313
```

Summary:
Uncorrected formation energy in eV per atom: -2.31

=====

(7)
Compound: Rb2CaHfI6
Source: the Alexandria database
Functional: PBE
Structure: relaxed Values from VASP.

Cell and atoms, written as Quantum ESPRESSO input:
```
&SYSTEM
  ibrav = 0, nat = 10, ntyp = 4
/
ATOMIC_SPECIES
Hf 178.49 Hf.upf
Rb 85.47 Rb.upf
I 126.90 I.upf
Ca 40.08 Ca.upf
CELL_PARAMETERS angstrom
-2.737 8.006 -0.905
-8.046 -2.665 0.755
-5.089 3.447 5.883
ATOMIC_POSITIONS angstrom
Hf 0.000 0.000 0.000
Rb -6.609 7.062 2.452
I -2.618 1.297 -0.036
I -5.236 3.070 2.990
Ca -5.391 2.670 -0.075
Rb -9.263 1.726 3.282
I -10.636 5.718 2.744
I -8.164 4.044 -0.113
I -6.757 -0.074 0.352
I -4.026 5.415 -0.502
```

Summary:
Uncorrected formation energy in eV per atom: -1.09

=====

(8)
Compound: CaHfSbI2
Source: the Alexandria database
Functional: PBE
Structure: relaxed Values from VASP.

Cell and atoms, written as Quantum ESPRESSO input:
```
&SYSTEM
  ibrav = 0, nat = 5, ntyp = 4
/
ATOMIC_SPECIES
I 126.90 I.upf
Ca 40.08 Ca.upf
Hf 178.49 Hf.upf
Sb 121.76 Sb.upf
CELL_PARAMETERS angstrom
-5.608 -0.244 0.281
0.347 -4.960 2.621
0.137 2.679 5.050
ATOMIC_POSITIONS angstrom
I -2.804 -0.122 0.141
I 0.173 -2.480 1.311
Ca -2.562 -1.263 3.976
Hf 0.000 0.000 0.000
Sb 0.068 1.339 2.525
```

Summary:
Relative energy among the computed polymorphs in meV/atom: 0
Uncorrected formation energy in eV per atom: -0.33

=====

(9)
Compound: CaHfSb2I
Source: the Alexandria database
Functional: PBE
Structure: relaxed Values from VASP.

Cell and atoms, written as Quantum ESPRESSO input:
```
&SYSTEM
  ibrav = 0, nat = 5, ntyp = 4
/
ATOMIC_SPECIES
Ca 40.08 Ca.upf
Hf 178.49 Hf.upf
Sb 121.76 Sb.upf
I 126.90 I.upf
CELL_PARAMETERS angstrom
-3.077 4.041 -2.217
2.006 -1.225 -5.018
-4.303 -3.722 -0.812
ATOMIC_POSITIONS angstrom
Ca -2.687 -0.453 -4.023
Hf 0.000 0.000 0.000
Sb -1.539 2.020 -1.108
Sb 1.003 -0.613 -2.509
I -2.152 -1.861 -0.406
```

Summary:
Relative energy among the computed polymorphs in meV/atom: 0
Uncorrected formation energy in eV per atom: -0.28

=====

(10)
Compound: CaHfTeI2
Source: the Alexandria database
Functional: PBE
Structure: relaxed Values from VASP.

Cell and atoms, written as Quantum ESPRESSO input:
```
&SYSTEM
  ibrav = 0, nat = 5, ntyp = 4
/
ATOMIC_SPECIES
Ca 40.08 Ca.upf
I 126.90 I.upf
Te 127.60 Te.upf
Hf 178.49 Hf.upf
CELL_PARAMETERS angstrom
-1.795 -4.290 -3.174
4.730 -2.829 1.150
-2.493 -2.321 4.546
ATOMIC_POSITIONS angstrom
Ca 0.221 -4.720 1.261
I 2.365 -1.415 0.575
Te -1.247 -1.160 2.273
I -0.897 -2.145 -1.587
Hf 0.000 0.000 0.000
```

Summary:
Relative energy among the computed polymorphs in meV/atom: 0
Uncorrected formation energy in eV per atom: -0.46

=====

(11)
Compound: CaHf2In2
Source: the Alexandria database
Functional: PBE
Structure: relaxed Values from VASP.

Cell and atoms, written as Quantum ESPRESSO input:
```
&SYSTEM
  ibrav = 0, nat = 10, ntyp = 3
/
ATOMIC_SPECIES
Ca 40.08 Ca.upf
Hf 178.49 Hf.upf
In 114.82 In.upf
CELL_PARAMETERS angstrom
-3.898 -5.069 -6.011
5.204 -6.692 2.269
-2.180 -0.946 2.212
ATOMIC_POSITIONS angstrom
Ca 0.653 -5.881 -1.871
Hf 1.017 -9.495 -0.675
In 3.034 -7.237 -0.103
Hf -2.551 -7.404 -3.298
Ca 0.000 0.000 0.000
In 1.062 -3.072 -0.267
Hf -1.891 -3.212 -0.855
Hf 1.677 -5.303 1.768
In -1.728 -4.525 -3.639
In 0.245 -8.690 -3.475
```

Summary:
Relative energy among the computed polymorphs in meV/atom: 0
DFT formation energy in eV per atom: -0.0537

=====

(12)
Compound: Ca2HfIn2
Source: the Alexandria database
Functional: PBE
Structure: relaxed Values from VASP.

Cell and atoms, written as Quantum ESPRESSO input:
```
&SYSTEM
  ibrav = 0, nat = 10, ntyp = 3
/
ATOMIC_SPECIES
Ca 40.08 Ca.upf
In 114.82 In.upf
Hf 178.49 Hf.upf
CELL_PARAMETERS angstrom
-0.808 7.470 -2.963
-7.898 -0.189 1.678
0.799 1.652 3.948
ATOMIC_POSITIONS angstrom
Ca -6.696 5.676 1.381
In -7.134 2.568 0.369
In -2.997 0.933 0.216
Hf -4.353 3.640 -0.642
Ca -5.032 1.971 2.594
In -5.709 6.347 -1.501
Hf 0.000 0.000 0.000
Ca -1.212 3.257 1.283
In -1.573 4.712 -1.654
Ca -2.876 6.962 0.069
```

Summary:
DFT formation energy in eV per atom: -0.0300

=====

(13)
Compound: CaHf2In
Source: the Alexandria database
Functional: PBE
Structure: relaxed Values from VASP.

Cell and atoms, written as Quantum ESPRESSO input:
```
&SYSTEM
  ibrav = 0, nat = 8, ntyp = 3
/
ATOMIC_SPECIES
In 114.82 In.upf
Hf 178.49 Hf.upf
Ca 40.08 Ca.upf
CELL_PARAMETERS angstrom
8.443 0.000 0.000
0.000 8.443 0.000
4.221 4.221 2.987
ATOMIC_POSITIONS angstrom
In 0.000 0.000 0.000
Hf 6.332 6.090 2.240
Hf 10.553 10.795 2.240
Hf 1.869 6.332 0.747
Hf 6.573 2.111 0.747
In 8.443 4.221 1.494
Ca 4.221 8.443 1.494
Ca 4.221 4.221 0.000
```

Summary:
DFT formation energy in eV per atom: 0.5830